Entry 1:
Material: TaSiAg2
Method: DFT, meta-GGA SCAN
State: single point on PBEsol structure

Results
raw total energy: -34.511 eV/atom
formation energy from raw total energies: 0.32 eV/atom
total moment: 0.0 μB/cell

Structure (CIF):
```
data_TaSiAg2
_chemical_formula_sum 'Ta1 Si1 Ag2'
_cell_length_a 3.771
_cell_length_b 3.771
_cell_length_c 5.264
_cell_angle_alpha 110.99
_cell_angle_beta 110.99
_cell_angle_gamma 90.00
_symmetry_space_group_name_H-M 'P 1'
_symmetry_Int_Tables_number 1
_symmetry_space_group_name_Hall 'P 1'
loop_
_atom_site_label
_atom_site_type_symbol
_atom_site_fract_x
_atom_site_fract_y
_atom_site_fract_z
Si1 Si 0.500 0.500 0.000
Ag1 Ag 0.750 0.250 0.500
Ag2 Ag 0.250 0.750 0.500
Ta1 Ta 0.000 0.000 0.000
```

***

Entry 2:
Material: Ta3SiAg
Method: DFT, meta-GGA SCAN
State: single point on PBEsol structure

Results
raw total energy: -46.083 eV/atom
formation energy from raw total energies: 2.14 eV/atom
total moment: 0.0 μB/cell

Structure (CIF):
```
data_Ta3SiAg
_chemical_formula_sum 'Ta3 Si1 Ag1'
_cell_length_a 4.786
_cell_length_b 4.786
_cell_length_c 4.786
_cell_angle_alpha 90.00
_cell_angle_beta 90.00
_cell_angle_gamma 90.00
_symmetry_space_group_name_H-M 'P 1'
_symmetry_Int_Tables_number 1
_symmetry_space_group_name_Hall 'P 1'
loop_
_atom_site_label
_atom_site_type_symbol
_atom_site_fract_x
_atom_site_fract_y
_atom_site_fract_z
Ag1 Ag 0.000 0.000 0.000
Ta1 Ta 0.500 0.000 0.000
Ta2 Ta 0.000 0.500 0.000
Ta3 Ta 0.000 0.000 0.500
Si1 Si 0.500 0.500 0.500
```

***

Which of these has the lowest raw total energy?
Ta3SiAg